(1)
Density functional theory data (PBE) for a geometry-optimized Ce5PmIn6 structure.

CIF file:
```
data_Ce5PmIn6
_chemical_formula_sum 'Ce10 Pm2 In12'
_cell_length_a 16.610
_cell_length_b 6.836
_cell_length_c 5.818
_cell_angle_alpha 90.00
_cell_angle_beta 91.75
_cell_angle_gamma 90.00
_space_group_name_H-M_alt 'C 1 2/m 1'
_space_group_IT_number 12
_space_group_name_Hall '-C 2y'
loop_
_atom_site_label
_atom_site_type_symbol
_atom_site_fract_x
_atom_site_fract_y
_atom_site_fract_z
Ce1 Ce 0.000 0.000 0.000
Ce2 Ce 0.167 0.000 0.657
Ce3 Ce 0.172 0.500 0.649
Pm1 Pm 0.000 0.500 0.000
In1 In 0.000 0.255 0.500
In2 In 0.167 0.252 0.155
```

The total magnetization is 5.94 μB/f.u. As for the crystal system: monoclinic. The value obtained for the formation energy is -380 meV per atom. For the density, the calculation gives 7.72 g/cm3.

***

(2)
Density functional theory data (PBE) for a geometry-optimized TaSb2TePd structure.

CIF file:
```
data_TaSb2TePd
_chemical_formula_sum 'Ta1 Sb2 Te1 Pd1'
_cell_length_a 5.104
_cell_length_b 5.104
_cell_length_c 5.238
_cell_angle_alpha 90.00
_cell_angle_beta 90.00
_cell_angle_gamma 90.00
_space_group_name_H-M_alt 'P 4/m m m'
_space_group_IT_number 123
_space_group_name_Hall '-P 4 2'
loop_
_atom_site_label
_atom_site_type_symbol
_atom_site_fract_x
_atom_site_fract_y
_atom_site_fract_z
Ta1 Ta 0.000 0.000 0.000
Sb1 Sb 0.000 0.500 0.500
Te1 Te 0.500 0.500 0.000
Pd1 Pd 0.500 0.500 0.500
```

The uncorrected formation energy comes out at 0.954 eV per atom. The total magnetization is 2.00 μB/f.u. The calculation puts the energy above the most stable polymorph in this dataset at 323 meV/atom. As for the crystal system: tetragonal. For the density, the calculation gives 8.01 g/cm3.

***

(3)
Density functional theory data (PBE) for a geometry-optimized DyTlBr2 structure.

CIF file:
```
data_DyTlBr2
_chemical_formula_sum 'Dy3 Tl3 Br6'
_cell_length_a 3.7125
_cell_length_b 3.7125
_cell_length_c 32.5758
_cell_angle_alpha 90.00
_cell_angle_beta 90.00
_cell_angle_gamma 120.00
_space_group_name_H-M_alt 'R -3 m'
_space_group_IT_number 166
_space_group_name_Hall '-R 3 2"'
loop_
_atom_site_label
_atom_site_type_symbol
_atom_site_fract_x
_atom_site_fract_y
_atom_site_fract_z
Dy1 Dy 0.0000 0.0000 0.0000
Tl1 Tl 0.0000 0.0000 0.5000
Br1 Br 0.0000 0.0000 0.3931
```

The uncorrected formation energy comes out at -1.087 eV per atom. The total magnetization is 0.00 μB/f.u. As for the crystal system: trigonal. For the density, the calculation gives 6.75 g/cm3.

***

(4)
Density functional theory data (PBE) for a geometry-optimized SrY2Sb structure.

CIF file:
```
data_SrY2Sb
_chemical_formula_sum 'Sr3 Y6 Sb3'
_cell_length_a 4.1505
_cell_length_b 4.1505
_cell_length_c 30.9413
_cell_angle_alpha 90.00
_cell_angle_beta 90.00
_cell_angle_gamma 120.00
_space_group_name_H-M_alt 'R -3 m'
_space_group_IT_number 166
_space_group_name_Hall '-R 3 2"'
loop_
_atom_site_label
_atom_site_type_symbol
_atom_site_fract_x
_atom_site_fract_y
_atom_site_fract_z
Sr1 Sr 0.0000 0.0000 0.0000
Y1 Y 0.0000 0.0000 0.2258
Sb1 Sb 0.0000 0.0000 0.5000
```

The uncorrected formation energy comes out at -0.359 eV per atom. The total magnetization is 0.00 μB/f.u. As for the crystal system: trigonal. For the density, the calculation gives 4.18 g/cm3.

***

(5)
Density functional theory data (PBE) for a geometry-optimized TaVTe2I structure.

CIF file:
```
data_TaVTe2I
_chemical_formula_sum 'Ta1 V1 Te2 I1'
_cell_length_a 5.406
_cell_length_b 5.406
_cell_length_c 5.585
_cell_angle_alpha 90.00
_cell_angle_beta 90.00
_cell_angle_gamma 90.00
_space_group_name_H-M_alt 'P 4/m m m'
_space_group_IT_number 123
_space_group_name_Hall '-P 4 2'
loop_
_atom_site_label
_atom_site_type_symbol
_atom_site_fract_x
_atom_site_fract_y
_atom_site_fract_z
Ta1 Ta 0.000 0.000 0.000
V1 V 0.500 0.500 0.500
Te1 Te 0.000 0.500 0.000
I1 I 0.000 0.000 0.500
```

The uncorrected formation energy comes out at 0.754 eV per atom. The total magnetization is 4.52 μB/f.u. The calculation puts the energy above the most stable polymorph in this dataset at 0 meV/atom. As for the crystal system: tetragonal. For the density, the calculation gives 6.25 g/cm3.

***

(6)
Density functional theory data (PBE) for a geometry-optimized ZnBr structure.

CIF file:
```
data_ZnBr
_chemical_formula_sum 'Zn2 Br2'
_cell_length_a 5.521
_cell_length_b 5.521
_cell_length_c 4.214
_cell_angle_alpha 90.00
_cell_angle_beta 90.00
_cell_angle_gamma 90.00
_space_group_name_H-M_alt 'P 4/n m m'
_space_group_IT_number 129
loop_
_space_group_symop_operation_xyz
'x,y,z'
'-x,-y,-z'
'-y+1/2,x,z'
'y+1/2,-x,-z'
'-x+1/2,-y+1/2,z'
'x+1/2,y+1/2,-z'
'y,-x+1/2,z'
'-y,x+1/2,-z'
'x+1/2,-y,-z'
'-x+1/2,y,z'
'-y,-x,-z'
'y,x,z'
'-x,y+1/2,-z'
'x,-y+1/2,z'
'y+1/2,x+1/2,-z'
'-y+1/2,-x+1/2,z'
loop_
_atom_site_label
_atom_site_type_symbol
_atom_site_fract_x
_atom_site_fract_y
_atom_site_fract_z
Zn1 Zn 0.250 0.750 0.000
Br1 Br 0.250 0.250 0.002
```

The uncorrected formation energy comes out at -0.120 eV per atom. The total magnetization is 0.00 μB/f.u. As for the crystal system: tetragonal. For the density, the calculation gives 3.76 g/cm3.

***

(7)
Density functional theory data (PBE) for a geometry-optimized SbN3Cl structure.

CIF file:
```
data_SbN3Cl
_chemical_formula_sum 'Sb1 N3 Cl1'
_cell_length_a 3.841
_cell_length_b 3.841
_cell_length_c 3.841
_cell_angle_alpha 90.00
_cell_angle_beta 90.00
_cell_angle_gamma 90.00
_space_group_name_H-M_alt 'P m -3 m'
_space_group_IT_number 221
_space_group_name_Hall '-P 4 2 3'
loop_
_atom_site_label
_atom_site_type_symbol
_atom_site_fract_x
_atom_site_fract_y
_atom_site_fract_z
Sb1 Sb 0.000 0.000 0.000
N1 N 0.000 0.500 0.500
Cl1 Cl 0.500 0.500 0.500
```

The uncorrected formation energy comes out at 2.369 eV per atom. The total magnetization is 0.00 μB/f.u. As for the crystal system: cubic. For the density, the calculation gives 5.84 g/cm3.

***

(8)
Density functional theory data (PBE) for a geometry-optimized RePWCl2 structure.

CIF file:
```
data_RePWCl2
_chemical_formula_sum 'Re1 P1 W1 Cl2'
_cell_length_a 4.729
_cell_length_b 4.729
_cell_length_c 4.904
_cell_angle_alpha 90.00
_cell_angle_beta 90.00
_cell_angle_gamma 90.00
_space_group_name_H-M_alt 'P 4/m m m'
_space_group_IT_number 123
_space_group_name_Hall '-P 4 2'
loop_
_atom_site_label
_atom_site_type_symbol
_atom_site_fract_x
_atom_site_fract_y
_atom_site_fract_z
Re1 Re 0.000 0.000 0.000
P1 P 0.500 0.500 0.000
W1 W 0.500 0.500 0.500
Cl1 Cl 0.000 0.500 0.500
```

The uncorrected formation energy comes out at 1.323 eV per atom. The total magnetization is 5.57 μB/f.u. The calculation puts the energy above the most stable polymorph in this dataset at 0 meV/atom. As for the crystal system: tetragonal. For the density, the calculation gives 7.14 g/cm3.